Entry from Alexandria: a relaxed structure of NaAlZn2 (GGA-PBE).

- Crystal system: orthorhombic
- Raw total energy: -0.0688 hartree per atom
- Fermi-level density of states: 5.1 states/eV/cell
- V: 318.6 Å³/cell

Cell: 8.037 6.996 5.667 Å, 90.00 90.00 90.00°
Space group Pnma (No. 62)
Inequivalent atoms, fractional coordinates:
Na1 0.035 0.250 0.120 x4
Al1 0.112 0.750 0.384 x4
Zn1 0.185 0.064 0.597 x8